# PBE with a Hubbard U Cs2NiPd3F12, relaxed
# V = 17.705 Å³/atom
# density = 4.5 g/cm3
# total magnetization = 6.2 Bohr magnetons per cell
# raw total energy = -4.15 eV per atom
data_Cs2NiPd3F12
_chemical_formula_sum 'Cs6 Ni3 Pd9 F36'
_cell_length_a 7.8765
_cell_length_b 7.8765
_cell_length_c 17.7943
_cell_angle_alpha 90.00
_cell_angle_beta 90.00
_cell_angle_gamma 120.00
_space_group_name_H-M_alt 'R -3 m'
_space_group_IT_number 166
_space_group_name_Hall '-R 3 2"'
loop_
_atom_site_label
_atom_site_type_symbol
_atom_site_fract_x
_atom_site_fract_y
_atom_site_fract_z
Cs1 Cs 0.0000 0.0000 0.1324
Ni1 Ni 0.0000 0.0000 0.5000
Pd1 Pd 0.0000 0.5000 0.0000
F1 F 0.0765 0.5382 0.1096
F2 F 0.0810 0.5405 0.3589